(1)
A crystal of TcPt2 relaxed with PBEsol, computed with SCAN.

a b c (Å): 5.5125 3.8217 8.3055
angles (deg): 90.00 90.00 90.00
With the nearest neighbours (Å) after each atom.
Positions (direct):
1 Tc 0.1107 0.2500 0.0697  2 Tc 2.55, 9 Pt 2.63-2.85
2 Tc 0.3893 0.7500 0.5697  2 Tc 2.55, 9 Pt 2.63-2.85
3 Tc 0.6107 0.2500 0.4303  2 Tc 2.55, 9 Pt 2.63-2.85
4 Tc 0.8893 0.7500 0.9303  2 Tc 2.55, 9 Pt 2.63-2.85
5 Pt 0.1249 0.2500 0.7536  5 Tc 2.63-2.85, 7 Pt 2.71-2.80
6 Pt 0.1262 0.2500 0.4161  5 Tc 2.67-2.88, 7 Pt 2.71-2.80
7 Pt 0.3738 0.7500 0.9161  5 Tc 2.67-2.88, 7 Pt 2.71-2.80
8 Pt 0.3751 0.7500 0.2536  5 Tc 2.63-2.85, 7 Pt 2.71-2.80
9 Pt 0.6249 0.2500 0.7464  5 Tc 2.63-2.85, 7 Pt 2.71-2.80
10 Pt 0.6262 0.2500 0.0839  5 Tc 2.67-2.88, 7 Pt 2.71-2.80
11 Pt 0.8738 0.7500 0.5839  5 Tc 2.67-2.88, 7 Pt 2.71-2.80
12 Pt 0.8751 0.7500 0.2464  5 Tc 2.63-2.85, 7 Pt 2.71-2.80

Output
Formation energy from the elements (eV/atom): -0.19
Relative energy among the computed polymorphs (meV per atom): 50



(2)
A crystal of TcPt3 relaxed with PBEsol, computed with SCAN.

a b c (Å): 9.1350 9.1350 9.1350
angles (deg): 17.27 17.27 17.27
With the nearest neighbours (Å) after each atom.
Positions (direct):
1 Tc 0.0000 0.0000 0.0000  6 Pt 2.68, 6 Tc 2.74
2 Pt 0.2532 0.2532 0.2532  3 Tc 2.68, 9 Pt 2.74-2.82
3 Pt 0.5000 0.5000 0.5000  12 Pt 2.74-2.82
4 Pt 0.7468 0.7468 0.7468  3 Tc 2.68, 9 Pt 2.74-2.82

Output
Formation energy from the elements (eV/atom): -0.12



Computed D(E_F) (states/eV/atom) in order:
0.96; 0.96